No. 1
Ac4Ga3Sn5 PBE optimized geometry; total energy = -48.48 eV for the cell shown; formation energy = -0.246 eV per atom; magnetic moment = 0.0 μB/f.u.; space group = No. 12; density = 6.6 Mg/m³
1.0
7.5908 -2.5686 0.0000
7.5908 2.5686 0.0000
-6.8706 0.0000 11.0091
Ac Ga Sn
4 3 5
direct
0.1199 0.1199 0.4722 Ac
0.2353 0.2353 0.8389 Ac
0.7647 0.7647 0.1611 Ac
0.8801 0.8801 0.5278 Ac
0.0000 0.0000 0.0000 Ga
0.3974 0.3974 0.1276 Ga
0.6026 0.6026 0.8724 Ga
0.2279 0.2279 0.3088 Sn
0.4402 0.4402 0.3631 Sn
0.5000 0.5000 0.0000 Sn
0.5598 0.5598 0.6369 Sn
0.7721 0.7721 0.6912 Sn



No. 2
OsSe2NO PBE optimized geometry; total energy = -26.71 eV for the cell shown; energy above the lowest structure with this stoichiometry = 0.000 eV/atom; magnetic moment = 0.0 μB/f.u.; space group = No. 123; formation energy from raw total energies = 0.954 eV/atom; density = 7.0 Mg/m³
1.0
4.9675 0.0000 0.0000
0.0000 4.9675 0.0000
0.0000 0.0000 3.6548
Os Se N O
1 2 1 1
direct
0.0000 0.0000 0.0000 Os
0.0000 0.5000 0.0000 Se
0.5000 0.0000 0.0000 Se
0.0000 0.0000 0.5000 N
0.5000 0.5000 0.5000 O



No. 3
TiFeB3 PBE optimized geometry; total energy = -27.04 eV for the cell shown; formation energy = 1.869 eV per atom; magnetic moment = 0.0 μB/f.u.; space group = No. 221; density = 3.8 Mg/m³
1.0
3.9176 0.0000 0.0000
0.0000 3.9176 0.0000
0.0000 0.0000 3.9176
Ti Fe B
1 1 3
direct
0.0000 0.0000 0.0000 Ti
0.5000 0.5000 0.5000 Fe
0.0000 0.0000 0.5000 B
0.0000 0.5000 0.0000 B
0.5000 0.0000 0.0000 B



No. 4
K2In4GeAu3 PBE optimized geometry; total energy = -30.08 eV for the cell shown; formation energy = -0.249 eV per atom; magnetic moment = 0.0 μB/f.u.; space group = No. 115; density = 7.3 Mg/m³
1.0
4.9817 0.0000 0.0000
0.0000 4.9817 0.0000
0.0000 0.0000 11.0399
K In Ge Au
2 4 1 3
direct
0.0000 0.5000 0.2404 K
0.5000 0.0000 0.7596 K
0.0000 0.0000 0.5000 In
0.0000 0.5000 0.8748 In
0.5000 0.0000 0.1252 In
0.5000 0.5000 0.5000 In
0.5000 0.5000 0.0000 Ge
0.0000 0.0000 0.0000 Au
0.0000 0.5000 0.6242 Au
0.5000 0.0000 0.3758 Au



No. 5
Ba2Sr2CaTi5O15 PBE optimized geometry; total energy = -200.46 eV for the cell shown; magnetic moment = 0.0 μB/f.u.; space group = No. 6; formation energy from raw total energies = -3.096 eV/atom; density = 5.0 Mg/m³
1.0
8.8933 0.0000 0.0000
0.0000 3.9396 0.0000
-0.3220 0.0000 9.1380
Ba Sr Ca Ti O
2 2 1 5 15
direct
0.0000 0.0000 0.0000 Ba
0.2022 0.0000 0.6010 Ba
0.3980 0.0000 0.2125 Sr
0.5970 0.0000 0.8156 Sr
0.7853 0.0000 0.4328 Ca
0.0919 0.5000 0.3070 Ti
0.3042 0.5000 0.9134 Ti
0.5016 0.5000 0.5069 Ti
0.6968 0.5000 0.1158 Ti
0.8951 0.5000 0.7042 Ti
0.0021 0.5000 0.4825 O
0.1029 0.5000 0.7915 O
0.1119 0.0000 0.2905 O
0.2153 0.5000 0.0907 O
0.3103 0.5000 0.3927 O
0.3113 0.0000 0.8922 O
0.4224 0.5000 0.6905 O
0.5066 0.5000 0.9930 O
0.5172 0.0000 0.4870 O
0.6074 0.5000 0.2898 O
0.7006 0.0000 0.0910 O
0.7143 0.5000 0.5735 O
0.7972 0.5000 0.8770 O
0.8980 0.0000 0.6807 O
0.9063 0.5000 0.1884 O



No. 6
HoThGaNi PBE optimized geometry; total energy = -22.17 eV for the cell shown; formation energy = -0.342 eV per atom; magnetic moment = 0.0 μB/f.u.; space group = No. 216; density = 9.7 Mg/m³
1.0
0.0000 3.5536 3.5536
3.5536 0.0000 3.5536
3.5536 3.5536 0.0000
Ho Th Ga Ni
1 1 1 1
direct
0.0000 0.0000 0.0000 Ho
0.5000 0.5000 0.5000 Th
0.7500 0.7500 0.7500 Ga
0.2500 0.2500 0.2500 Ni



No. 7
SrNdPuO6 PBE optimized geometry; total energy = -151.66 eV for the cell shown; magnetic moment = 1.0 μB/f.u.; space group = No. 163; formation energy from raw total energies = -2.811 eV/atom; density = 6.2 Mg/m³
1.0
5.9712 0.0000 0.0000
-2.9856 5.1712 0.0000
0.0000 0.0000 9.9590
Sr Nd Pu O
2 2 2 12
direct
0.0000 0.0000 0.0000 Sr
0.0000 0.0000 0.5000 Sr
0.3333 0.6667 0.2500 Nd
0.6667 0.3333 0.7500 Nd
0.3333 0.6667 0.7500 Pu
0.6667 0.3333 0.2500 Pu
0.0440 0.3866 0.6405 O
0.0440 0.6575 0.8595 O
0.3425 0.3866 0.8595 O
0.3425 0.9560 0.6405 O
0.3866 0.0440 0.1405 O
0.3866 0.3425 0.3595 O
0.6134 0.6575 0.6405 O
0.6134 0.9560 0.8595 O
0.6575 0.0440 0.3595 O
0.6575 0.6134 0.1405 O
0.9560 0.3425 0.1405 O
0.9560 0.6134 0.3595 O



No. 8
ScTeRu2 PBE optimized geometry; total energy = -53.65 eV for the cell shown; magnetic moment = 0.0 μB/f.u.; space group = No. 122; formation energy from raw total energies = 0.300 eV/atom; density = 8.1 Mg/m³
1.0
-3.5536 3.5536 3.0265
3.5536 -3.5536 3.0265
3.5536 3.5536 -3.0265
Sc Te Ru
2 2 4
direct
0.0000 0.0000 0.0000 Sc
0.7500 0.2500 0.5000 Sc
0.2500 0.7500 0.5000 Te
0.5000 0.5000 0.0000 Te
0.1435 0.1250 0.5185 Ru
0.3750 0.8565 0.9815 Ru
0.6065 0.6250 0.4815 Ru
0.8750 0.3935 0.0185 Ru



No. 9
PSe4 PBE optimized geometry; total energy = -16.10 eV for the cell shown; energy above the lowest structure with this stoichiometry = 0.142 eV/atom; magnetic moment = 0.0 μB/f.u.; space group = No. 221; formation energy from raw total energies = 0.650 eV/atom; density = 5.1 Mg/m³
1.0
4.8335 0.0000 0.0000
0.0000 4.8335 0.0000
0.0000 0.0000 4.8335
P Se
1 4
direct
0.0000 0.0000 0.0000 P
0.0000 0.0000 0.5000 Se
0.0000 0.5000 0.0000 Se
0.5000 0.0000 0.0000 Se
0.5000 0.5000 0.5000 Se



No. 10
InGaTe2 PBE optimized geometry; total energy = -12.87 eV for the cell shown; magnetic moment = 0.0 μB/f.u.; space group = No. 160; formation energy from raw total energies = -0.206 eV/atom; density = 6.2 Mg/m³
1.0
2.1207 1.2244 7.5294
-2.1207 1.2244 7.5294
0.0000 -2.4487 7.5294
In Ga Te
1 1 2
direct
0.0000 0.0000 0.0000 In
0.8304 0.8304 0.8304 Ga
0.4137 0.4137 0.4137 Te
0.5846 0.5846 0.5846 Te



No. 11
SmDy5HoTh2 PBE optimized geometry; total energy = -88.27 eV for the cell shown; formation energy = 0.335 eV per atom; magnetic moment = 0.0 μB/f.u.; space group = No. 140; density = 8.9 Mg/m³
1.0
-4.3613 4.3613 7.7841
4.3613 -4.3613 7.7841
4.3613 4.3613 -7.7841
Sm Dy Ho Th
2 10 2 4
direct
0.2500 0.7500 0.5000 Sm
0.7500 0.2500 0.5000 Sm
0.0000 0.0000 0.0000 Dy
0.0695 0.5695 0.9191 Dy
0.1504 0.0695 0.5000 Dy
0.3496 0.8496 0.9191 Dy
0.4305 0.3496 0.5000 Dy
0.5000 0.5000 0.0000 Dy
0.5695 0.6504 0.5000 Dy
0.6504 0.1504 0.0809 Dy
0.8496 0.9305 0.5000 Dy
0.9305 0.4305 0.0809 Dy
0.2500 0.2500 0.0000 Ho
0.7500 0.7500 0.0000 Ho
0.1197 0.3803 0.5000 Th
0.3803 0.8803 0.2607 Th
0.6197 0.1197 0.7393 Th
0.8803 0.6197 0.5000 Th



No. 12
FeAgN3 PBE optimized geometry; total energy = -28.92 eV for the cell shown; magnetic moment = 0.0 μB/f.u.; space group = No. 221; formation energy from raw total energies = 1.474 eV/atom; density = 6.7 Mg/m³
1.0
3.7053 0.0000 0.0000
0.0000 3.7053 0.0000
0.0000 0.0000 3.7053
Fe Ag N
1 1 3
direct
0.0000 0.0000 0.0000 Fe
0.5000 0.5000 0.5000 Ag
0.0000 0.0000 0.5000 N
0.0000 0.5000 0.0000 N
0.5000 0.0000 0.0000 N



No. 13
YZnP2O PBE optimized geometry; total energy = -25.49 eV for the cell shown; energy above the lowest structure with this stoichiometry = 0.000 eV/atom; magnetic moment = 0.0 μB/f.u.; space group = No. 123; formation energy from raw total energies = -0.395 eV/atom; density = 4.4 Mg/m³
1.0
4.4898 0.0000 0.0000
0.0000 4.4898 0.0000
0.0000 0.0000 4.3341
Y Zn P O
1 1 2 1
direct
0.0000 0.0000 0.0000 Y
0.5000 0.5000 0.0000 Zn
0.0000 0.5000 0.5000 P
0.5000 0.0000 0.5000 P
0.0000 0.0000 0.5000 O



No. 14
Pr6Tl3Sn PBE optimized geometry; total energy = -85.22 eV for the cell shown; formation energy = -0.283 eV per atom; magnetic moment = 0.0 μB/f.u.; space group = No. 36; density = 7.9 Mg/m³
1.0
5.5690 -7.7383 0.0000
5.5690 7.7383 0.0000
0.0000 0.0000 7.7216
Pr Tl Sn
12 6 2
direct
0.0359 0.9641 0.5000 Pr
0.1366 0.5076 0.9840 Pr
0.2203 0.3167 0.3387 Pr
0.2951 0.7049 0.4948 Pr
0.3167 0.2203 0.8387 Pr
0.4924 0.8634 0.9840 Pr
0.5076 0.1366 0.4840 Pr
0.6833 0.7797 0.3387 Pr
0.7049 0.2951 0.9948 Pr
0.7797 0.6833 0.8387 Pr
0.8634 0.4924 0.4840 Pr
0.9641 0.0359 0.0000 Pr
0.0074 0.2829 0.6864 Tl
0.2829 0.0074 0.1864 Tl
0.4850 0.5150 0.0915 Tl
0.5150 0.4850 0.5915 Tl
0.7171 0.9926 0.6864 Tl
0.9926 0.7171 0.1864 Tl
0.1629 0.8371 0.8235 Sn
0.8371 0.1629 0.3235 Sn



No. 15
Hg2Sb2Au PBE optimized geometry; total energy = -21.57 eV for the cell shown; energy above the lowest structure with this stoichiometry = 0.168 eV/atom; magnetic moment = 0.0 μB/f.u.; space group = No. 127; formation energy from raw total energies = 0.268 eV/atom; density = 10.7 Mg/m³
1.0
7.5338 0.0000 0.0000
0.0000 7.5338 0.0000
0.0000 0.0000 4.5914
Hg Sb Au
4 4 2
direct
0.1606 0.3394 0.0000 Hg
0.3394 0.8394 0.0000 Hg
0.6606 0.1606 0.0000 Hg
0.8394 0.6606 0.0000 Hg
0.1383 0.6383 0.5000 Sb
0.3617 0.1383 0.5000 Sb
0.6383 0.8617 0.5000 Sb
0.8617 0.3617 0.5000 Sb
0.0000 0.0000 0.0000 Au
0.5000 0.5000 0.0000 Au



No. 16
Pr2GaNi3 PBE optimized geometry; total energy = -64.51 eV for the cell shown; energy above the lowest structure with this stoichiometry = 0.022 eV/atom; formation energy = -0.388 eV per atom; magnetic moment = 0.0 μB/f.u.; space group = No. 69; density = 7.4 Mg/m³
1.0
0.0000 4.2092 7.1520
3.9583 0.0000 7.1520
3.9583 4.2092 0.0000
Pr Ga Ni
4 2 6
direct
0.2430 0.7570 0.7570 Pr
0.2500 0.2500 0.2500 Pr
0.7500 0.7500 0.7500 Pr
0.7570 0.2430 0.2430 Pr
0.3336 0.3336 0.6664 Ga
0.6664 0.6664 0.3336 Ga
0.1648 0.1648 0.8352 Ni
0.1665 0.6668 0.3332 Ni
0.3332 0.8335 0.1665 Ni
0.6668 0.1665 0.8335 Ni
0.8335 0.3332 0.6668 Ni
0.8352 0.8352 0.1648 Ni



No. 17
CeZr6Co3 PBE optimized geometry; total energy = -159.13 eV for the cell shown; formation energy = -0.102 eV per atom; magnetic moment = 0.0 μB/f.u.; space group = No. 36; density = 7.1 Mg/m³
1.0
5.2692 -5.9670 0.0000
5.2692 5.9670 0.0000
0.0000 0.0000 6.4387
Ce Zr Co
2 12 6
direct
0.1818 0.8182 0.5000 Ce
0.8182 0.1818 0.0000 Ce
0.0670 0.4565 0.7319 Zr
0.1237 0.2186 0.3756 Zr
0.2186 0.1237 0.8756 Zr
0.2722 0.7278 0.9884 Zr
0.4565 0.0670 0.2319 Zr
0.4707 0.5293 0.3603 Zr
0.5293 0.4707 0.8603 Zr
0.5435 0.9330 0.7319 Zr
0.7278 0.2722 0.4884 Zr
0.7814 0.8763 0.3756 Zr
0.8763 0.7814 0.8756 Zr
0.9330 0.5435 0.2319 Zr
0.0834 0.9166 0.1902 Co
0.2286 0.4111 0.0823 Co
0.4111 0.2286 0.5823 Co
0.5889 0.7714 0.0823 Co
0.7714 0.5889 0.5823 Co
0.9166 0.0834 0.6902 Co



No. 18
LiCoNiMo PBE optimized geometry; total energy = -25.02 eV for the cell shown; formation energy = 0.152 eV per atom; magnetic moment = 1.6 μB/f.u.; space group = No. 216; density = 7.5 Mg/m³
1.0
0.0000 2.9064 2.9064
2.9064 0.0000 2.9064
2.9064 2.9064 0.0000
Li Co Ni Mo
1 1 1 1
direct
0.0000 0.0000 0.0000 Li
0.7500 0.7500 0.7500 Co
0.2500 0.2500 0.2500 Ni
0.5000 0.5000 0.5000 Mo



No. 19
Tb2NdSi2Ni2 PBE optimized geometry; total energy = -40.82 eV for the cell shown; magnetic moment = 0.0 μB/f.u.; space group = No. 166; formation energy from raw total energies = -0.626 eV/atom; density = 7.2 Mg/m³
1.0
2.0879 1.2054 9.7257
-2.0879 1.2054 9.7257
0.0000 -2.4109 9.7257
Tb Nd Si Ni
2 1 2 2
direct
0.1231 0.1231 0.1231 Tb
0.8769 0.8769 0.8769 Tb
0.0000 0.0000 0.0000 Nd
0.2630 0.2630 0.2630 Si
0.7370 0.7370 0.7370 Si
0.4011 0.4011 0.4011 Ni
0.5989 0.5989 0.5989 Ni



No. 20
ScUNiIr PBE optimized geometry; total energy = -33.90 eV for the cell shown; formation energy = -0.410 eV per atom; magnetic moment = 2.1 μB/f.u.; space group = No. 216; density = 12.2 Mg/m³
1.0
0.0000 3.3107 3.3107
3.3107 0.0000 3.3107
3.3107 3.3107 0.0000
Sc U Ni Ir
1 1 1 1
direct
0.0000 0.0000 0.0000 Sc
0.5000 0.5000 0.5000 U
0.7500 0.7500 0.7500 Ni
0.2500 0.2500 0.2500 Ir



No. 21
SnAsPt3 PBE optimized geometry; total energy = -25.74 eV for the cell shown; energy above the lowest structure with this stoichiometry = 0.000 eV/atom; formation energy = 0.207 eV per atom; magnetic moment = 0.0 μB/f.u.; space group = No. 221; density = 12.2 Mg/m³
1.0
4.7377 0.0000 0.0000
0.0000 4.7377 0.0000
0.0000 0.0000 4.7377
Sn As Pt
1 1 3
direct
0.0000 0.0000 0.0000 Sn
0.5000 0.5000 0.5000 As
0.0000 0.5000 0.5000 Pt
0.5000 0.0000 0.5000 Pt
0.5000 0.5000 0.0000 Pt



No. 22
TbScZnIr PBE optimized geometry; total energy = -23.62 eV for the cell shown; formation energy = -0.631 eV per atom; magnetic moment = 0.0 μB/f.u.; space group = No. 216; density = 9.8 Mg/m³
1.0
0.0000 3.3967 3.3967
3.3967 0.0000 3.3967
3.3967 3.3967 0.0000
Tb Sc Zn Ir
1 1 1 1
direct
0.0000 0.0000 0.0000 Tb
0.5000 0.5000 0.5000 Sc
0.7500 0.7500 0.7500 Zn
0.2500 0.2500 0.2500 Ir



No. 23
Na2TbYO4 PBE optimized geometry; total energy = -55.79 eV for the cell shown; magnetic moment = 0.0 μB/f.u.; space group = No. 10; formation energy from raw total energies = -2.778 eV/atom; density = 5.2 Mg/m³
1.0
5.9318 0.0000 0.0000
0.0000 3.4426 0.0000
-1.9961 0.0000 5.6177
Na Tb Y O
2 1 1 4
direct
0.0000 0.0000 0.0000 Na
0.0000 0.5000 0.5000 Na
0.5000 0.0000 0.5000 Tb
0.5000 0.5000 0.0000 Y
0.2883 0.0000 0.7635 O
0.2882 0.5000 0.2621 O
0.7117 0.0000 0.2365 O
0.7118 0.5000 0.7379 O